(1)
MnTc3As: relaxed, PBE.

abc: 4.4730 4.4730 4.4730
angles: 90.00 90.00 90.00
Last column: magnetic moment on the atom in μB.
Sites, in units of the cell vectors:
Tc 0.0000 0.0000 0.5000  -0.12
Tc 0.0000 0.5000 0.0000  -0.05
Tc 0.5000 0.0000 0.0000  0.02
As 0.0000 0.0000 0.0000  -0.01
Mn 0.5000 0.5000 0.5000  -0.05

Computed properties:
formation energy from the elements = 1.5065 eV per atom
D(E_F) = 2.092 states/eV/atom
excess energy over the best structure of this formula in the dataset = 131 kJ/mol of formula units
density = 7.86 g cm⁻³
raw total energy = -7.477 eV per atom


(2)
NpAsAu: relaxed, PBE.

abc: 2.8043 2.8043 8.3157
angles: 99.71 99.71 90.00
Last column: magnetic moment on the atom in μB.
Sites, in units of the cell vectors:
As 0.9434 0.9434 0.8868  -0.05
Np 0.1265 0.1265 0.2529  3.40
Au 0.7801 0.7801 0.5603  0.00

Computed properties:
formation energy from the elements = 0.2261 eV per atom
D(E_F) = 1.501 states/eV/atom
density = 13.31 g cm⁻³
raw total energy = -6.730 eV per atom